Lu3CrS6 at its PBEsol-relaxed geometry, computed with meta-GGA SCAN.

Cell: 12.8774 15.5034 3.6458 Å, 90.00 90.00 90.00°
Fractional positions:
1 Lu 0.0509 0.2223 0.0000
2 Lu 0.1806 0.6476 0.0000
3 Lu 0.2418 0.9021 0.5000
4 Lu 0.2582 0.4021 0.0000
5 Lu 0.3194 0.1476 0.5000
6 Lu 0.4491 0.7223 0.5000
7 Lu 0.5509 0.2777 0.5000
8 Lu 0.6806 0.8524 0.5000
9 Lu 0.7418 0.5979 0.0000
10 Lu 0.7582 0.0979 0.5000
11 Lu 0.8194 0.3524 0.0000
12 Lu 0.9491 0.7777 0.0000
13 Cr 0.0000 0.0000 0.5000
14 Cr 0.0000 0.5000 0.5000
15 Cr 0.5000 0.0000 0.0000
16 Cr 0.5000 0.5000 0.0000
17 S 0.0229 0.4014 0.0000
18 S 0.0817 0.9224 0.0000
19 S 0.1034 0.7540 0.5000
20 S 0.1209 0.1098 0.5000
21 S 0.1826 0.5203 0.5000
22 S 0.1897 0.2900 0.5000
23 S 0.3103 0.7900 0.0000
24 S 0.3174 0.0203 0.0000
25 S 0.3791 0.6098 0.0000
26 S 0.3966 0.2540 0.0000
27 S 0.4183 0.4224 0.5000
28 S 0.4771 0.9014 0.5000
29 S 0.5229 0.0986 0.5000
30 S 0.5817 0.5776 0.5000
31 S 0.6034 0.7460 0.0000
32 S 0.6209 0.3902 0.0000
33 S 0.6826 0.9797 0.0000
34 S 0.6897 0.2100 0.0000
35 S 0.8103 0.7100 0.5000
36 S 0.8174 0.4797 0.5000
37 S 0.8791 0.8902 0.5000
38 S 0.8966 0.2460 0.5000
39 S 0.9183 0.0776 0.0000
40 S 0.9771 0.5986 0.0000

## Properties
The mass density comes out at 7.0 Mg/m³. Its space-group type is Pnnm (58). The value obtained for the uncorrected formation energy is -2.00 eV/atom.